[1]
# BOs3N

BOs3N after structural relaxation (PBEsol, the Alexandria database).

It has space group Pm-3m (No. 221), with a = 3.936 Å, b = 3.936 Å, c = 3.936 Å, α = 90.00°, β = 90.00° and γ = 90.00°. The asymmetric unit holds B at (0.000, 0.000, 0.000), Os at (0.000, 0.500, 0.500) and N at (0.500, 0.500, 0.500).

The value obtained for the calculated volume is 61.0 Å³/cell. The density of states at the Fermi level is 1.127 states/eV per atom. The calculation puts the density at 16.22 g cm⁻³. The calculation puts the total energy at -9.11 eV per atom. For the size of the total moment, the calculation gives 0.0 μB/f.u.

---

[2]
# BOsN2

BOsN2 after structural relaxation (PBEsol, the Alexandria database).

It has space group I-42d (No. 122), with a = 4.282 Å, b = 4.282 Å, c = 7.392 Å, α = 90.00°, β = 90.00° and γ = 90.00°. The asymmetric unit holds B at (0.000, 0.000, 0.000), Os at (0.000, 0.000, 0.500) and N at (0.159, 0.250, 0.125).

The value obtained for the calculated volume is 135.5 Å³/cell. The density of states at the Fermi level is 0.521 states/eV per atom. The calculation puts the density at 11.22 g cm⁻³. The calculation puts the total energy at -9.14 eV per atom. For the size of the total moment, the calculation gives 0.0 μB/f.u.

---

[3]
# BPSeN2

BPSeN2 after structural relaxation (PBEsol, the Alexandria database).

It has space group P4/mmm (No. 123), with a = 3.227 Å, b = 3.227 Å, c = 6.239 Å, α = 90.00°, β = 90.00° and γ = 90.00°. The asymmetric unit holds B at (0.000, 0.000, 0.000), P at (0.500, 0.500, 0.500), Se at (0.500, 0.500, 0.000) and N at (0.000, 0.500, 0.500).

The value obtained for the calculated volume is 65.0 Å³/cell. The density of states at the Fermi level is 0.413 states/eV per atom. The calculation puts the density at 3.80 g cm⁻³. The calculation puts the total energy at -5.73 eV per atom. For the size of the total moment, the calculation gives 0.0 μB/f.u.

---

[4]
# Pr3B2N4

Pr3B2N4 after structural relaxation (PBEsol, the Alexandria database).

It has space group Immm (No. 71), with a = 3.545 Å, b = 6.295 Å, c = 10.832 Å, α = 90.00°, β = 90.00° and γ = 90.00°. The asymmetric unit holds Pr at (0.000, 0.000, 0.000), Pr at (0.000, 0.500, 0.202), B at (0.000, 0.143, 0.500) and N at (0.000, 0.257, 0.381).

The value obtained for the calculated volume is 241.7 Å³/cell. The density of states at the Fermi level is 0.159 states/eV per atom. The calculation puts the density at 6.88 g cm⁻³. The calculation puts the total energy at -8.48 eV per atom. For the size of the total moment, the calculation gives 0.0 μB/f.u.

---

[5]
# ZnReB2N

ZnReB2N after structural relaxation (PBEsol, the Alexandria database).

It has space group P4/mmm (No. 123), with a = 3.523 Å, b = 3.523 Å, c = 3.897 Å, α = 90.00°, β = 90.00° and γ = 90.00°. The asymmetric unit holds Zn at (0.000, 0.000, 0.000), Re at (0.500, 0.500, 0.000), B at (0.000, 0.500, 0.500) and N at (0.000, 0.000, 0.500).

The value obtained for the calculated volume is 48.4 Å³/cell. The density of states at the Fermi level is 0.394 states/eV per atom. The calculation puts the density at 9.86 g cm⁻³. The calculation puts the total energy at -6.03 eV per atom. For the size of the total moment, the calculation gives 0.0 μB/f.u.

---

[6]
# BRhSe2N

BRhSe2N after structural relaxation (PBEsol, the Alexandria database).

It has space group P4/mmm (No. 123), with a = 4.994 Å, b = 4.994 Å, c = 3.550 Å, α = 90.00°, β = 90.00° and γ = 90.00°. The asymmetric unit holds B at (0.000, 0.000, 0.000), Rh at (0.500, 0.500, 0.500), Se at (0.000, 0.500, 0.500) and N at (0.500, 0.500, 0.000).

The value obtained for the calculated volume is 88.5 Å³/cell. The density of states at the Fermi level is 0.765 states/eV per atom. The calculation puts the density at 5.36 g cm⁻³. The calculation puts the total energy at -5.06 eV per atom. For the size of the total moment, the calculation gives 0.0 μB/f.u.

---

[7]
# BRuSN2

BRuSN2 after structural relaxation (PBEsol, the Alexandria database).

It has space group P4/mmm (No. 123), with a = 3.130 Å, b = 3.130 Å, c = 6.360 Å, α = 90.00°, β = 90.00° and γ = 90.00°. The asymmetric unit holds B at (0.000, 0.000, 0.000), Ru at (0.500, 0.500, 0.500), S at (0.000, 0.000, 0.500) and N at (0.000, 0.500, 0.000).

The value obtained for the calculated volume is 62.3 Å³/cell. The density of states at the Fermi level is 0.760 states/eV per atom. The calculation puts the density at 4.58 g cm⁻³. The calculation puts the total energy at -6.65 eV per atom. For the size of the total moment, the calculation gives 0.1 μB/f.u.

---

[8]
# BS2N2

BS2N2 after structural relaxation (PBEsol, the Alexandria database).

It has space group P4/mmm (No. 123), with a = 3.190 Å, b = 3.190 Å, c = 6.444 Å, α = 90.00°, β = 90.00° and γ = 90.00°. The asymmetric unit holds B at (0.000, 0.000, 0.000), S at (0.500, 0.500, 0.000), S at (0.500, 0.500, 0.500) and N at (0.000, 0.500, 0.500).

The value obtained for the calculated volume is 65.6 Å³/cell. The density of states at the Fermi level is 0.346 states/eV per atom. The calculation puts the density at 2.61 g cm⁻³. The calculation puts the total energy at -4.94 eV per atom. For the size of the total moment, the calculation gives 0.0 μB/f.u.